PBE MgTe2Cl, optimized geometry; E_form (uncorrected) = -313 meV/atom; space group = R-3m (166); polymorph energy (0 for the lowest one) = 0.4207 eV per atom; E = -2.7441 eV per atom
1.0
2.259 1.304 8.008
-2.259 1.304 8.008
0.000 -2.608 8.008
Mg Te Cl
1 2 1
Direct
0.000 0.000 0.000
0.390 0.390 0.390
0.610 0.610 0.610
0.500 0.500 0.500

PBE Pr2ErMg9, optimized geometry; E_form = -0.039 eV/atom; space group = R-3m (166); E = -2.4117 eV per atom
1.0
3.043 1.757 9.841
-3.043 1.757 9.841
0.000 -3.513 9.841
Pr Er Mg
2 1 9
Direct
0.141 0.141 0.141
0.859 0.859 0.859
0.000 0.000 0.000
0.079 0.584 0.584
0.334 0.334 0.334
0.416 0.416 0.921
0.416 0.921 0.416
0.500 0.500 0.500
0.584 0.079 0.584
0.584 0.584 0.079
0.666 0.666 0.666
0.921 0.416 0.416

PBE TcAg2Hg, optimized geometry; E_form = 0.851 eV/atom; space group = I-42d (122); E = -3.2419 eV per atom
1.0
-3.835 3.835 2.788
3.835 -3.835 2.788
3.835 3.835 -2.788
Tc Ag Hg
2 4 2
Direct
0.000 0.000 0.000
0.750 0.250 0.500
0.117 0.125 0.492
0.375 0.883 0.008
0.633 0.625 0.508
0.875 0.367 0.992
0.250 0.750 0.500
0.500 0.500 0.000

PBE Pm3Si4Pd2, optimized geometry; E_form (uncorrected) = -900 meV/atom; space group = C2/m (12); E = -6.0478 eV per atom
1.0
5.560 -2.067 0.000
5.560 2.067 0.000
-1.657 0.000 8.198
Pm Si Pd
3 4 2
Direct
0.000 0.000 0.000
0.335 0.335 0.333
0.665 0.665 0.667
0.052 0.052 0.390
0.277 0.277 0.940
0.723 0.723 0.060
0.948 0.948 0.610
0.390 0.390 0.723
0.610 0.610 0.277

PBE Sr12Ca5Pb3, optimized geometry; E_form = 0.345 eV/atom; space group = Ia-3d (230); E = -1.7210 eV per atom
1.0
-10.583 10.583 10.583
10.583 -10.583 10.583
10.583 10.583 -10.583
Sr Ca Pb
48 20 12
Direct
0.051 0.630 0.391
0.051 0.921 0.660
0.079 0.239 0.130
0.079 0.340 0.949
0.109 0.739 0.660
0.109 0.870 0.449
0.130 0.079 0.239
0.130 0.551 0.891
0.160 0.239 0.609
0.160 0.421 0.551
0.239 0.130 0.079
0.239 0.609 0.160
0.261 0.340 0.891
0.261 0.421 0.370
0.340 0.891 0.261
0.340 0.949 0.079
0.370 0.261 0.421
0.370 0.609 0.949
0.391 0.051 0.630
0.391 0.840 0.761
0.421 0.370 0.261
0.421 0.551 0.160
0.449 0.109 0.870
0.449 0.840 0.579
0.551 0.160 0.421
0.551 0.891 0.130
0.579 0.449 0.840
0.579 0.630 0.739
0.609 0.160 0.239
0.609 0.949 0.370
0.630 0.391 0.051
0.630 0.739 0.579
0.660 0.051 0.921
0.660 0.109 0.739
0.739 0.579 0.630
0.739 0.660 0.109
0.761 0.391 0.840
0.761 0.870 0.921
0.840 0.579 0.449
0.840 0.761 0.391
0.870 0.449 0.109
0.870 0.921 0.761
0.891 0.130 0.551
0.891 0.261 0.340
0.921 0.660 0.051
0.921 0.761 0.870
0.949 0.079 0.340
0.949 0.370 0.609
0.000 0.000 0.000
0.000 0.000 0.500
0.000 0.500 0.000
0.000 0.500 0.500
0.125 0.750 0.875
0.125 0.875 0.250
0.250 0.125 0.875
0.250 0.625 0.375
0.375 0.250 0.625
0.375 0.625 0.750
0.500 0.000 0.000
0.500 0.000 0.500
0.500 0.500 0.000
0.500 0.500 0.500
0.625 0.375 0.250
0.625 0.750 0.375
0.750 0.375 0.625
0.750 0.875 0.125
0.875 0.125 0.750
0.875 0.250 0.125
0.125 0.250 0.375
0.125 0.375 0.750
0.250 0.375 0.125
0.250 0.875 0.625
0.375 0.125 0.250
0.375 0.750 0.125
0.625 0.250 0.875
0.625 0.875 0.750
0.750 0.125 0.375
0.750 0.625 0.875
0.875 0.625 0.250
0.875 0.750 0.625

PBE HfThIr2, optimized geometry; E_form = -0.847 eV/atom; space group = R-3m (166); E = -9.6208 eV per atom
1.0
2.220 1.282 5.026
-2.220 1.282 5.026
0.000 -2.564 5.026
Hf Th Ir
1 1 2
Direct
0.000 0.000 0.000
0.500 0.500 0.500
0.278 0.278 0.278
0.722 0.722 0.722

PBE LaCoAu, optimized geometry; E_form = -0.419 eV/atom; space group = C2/m (12); E = -5.5229 eV per atom
1.0
6.050 -2.130 0.000
6.050 2.130 0.000
-0.989 0.000 4.973
La Co Au
2 2 2
Direct
0.119 0.119 0.305
0.881 0.881 0.695
0.218 0.218 0.912
0.782 0.782 0.088
0.411 0.411 0.244
0.589 0.589 0.756

PBE BaAcSi, optimized geometry; E_form (uncorrected) = -160 meV/atom; space group = P3m1 (156); polymorph energy (0 for the lowest one) = 0.1623 eV per atom; E = -3.9781 eV per atom
1.0
5.139 0.000 0.000
-2.569 4.450 0.000
0.000 0.000 5.168
Ba Ac Si
1 1 1
Direct
0.000 0.000 0.000
0.667 0.333 0.516
0.333 0.667 0.370

Question: What is the formula in the eighth record?
Answer: BaAcSi